No. 1
# AlCuNi2

Crystalline AlCuNi2 at its relaxed geometry (PBEsol, the Alexandria database).

Structure (POSCAR):
```
AlCuNi2
1.0
-3.1740 -0.8672 -2.2608
-3.4959 -0.8738 1.7184
-3.0418 2.5743 -0.2417
Ni Cu Al
2 1 1
Cartesian
0.0000 0.0000 0.0000
-2.4279 0.2083 -0.1960
-7.2838 0.6249 -0.5881
-4.8559 0.4166 -0.3921
```

=====

No. 2
# AlCuNi2

Crystalline AlCuNi2 at its relaxed geometry (PBEsol, the Alexandria database).

Structure (POSCAR):
```
AlCuNi2
1.0
2.6749 0.0000 0.0000
0.0000 3.1969 0.0000
0.0000 0.0000 5.2275
Ni Cu Al
2 1 1
Cartesian
0.0000 0.0000 3.9156
0.0000 0.0000 1.3119
1.3375 1.5984 2.6137
1.3375 1.5984 0.0000
```

=====

No. 3
# Al4CuNi2

Crystalline Al4CuNi2 at its relaxed geometry (PBEsol, the Alexandria database).

Structure (POSCAR):
```
Al4CuNi2
1.0
4.1206 0.0000 0.0000
0.0000 6.8667 0.0142
0.0000 -3.3445 6.2753
Cu Al Ni
2 8 4
Cartesian
1.0302 0.1369 2.7500
3.0905 3.3853 3.5395
3.0905 3.4871 0.8381
1.0302 2.5459 2.2962
3.0905 0.9763 3.9933
3.0905 -1.1950 2.3968
1.0302 0.0351 5.4514
3.0905 2.7499 6.0293
1.0302 4.7173 3.8927
1.0302 0.7723 0.2603
1.0302 4.9755 1.0616
1.0302 2.3562 4.7425
3.0905 -1.4533 5.2279
3.0905 1.1660 1.5470
```

=====

No. 4
# AlCu3Ni2

Crystalline AlCu3Ni2 at its relaxed geometry (PBEsol, the Alexandria database).

Structure (POSCAR):
```
AlCu3Ni2
1.0
-2.8670 1.6601 1.0735
-1.9375 -1.6583 -2.6099
-2.0319 -4.8124 2.0153
Al Cu Ni
1 3 2
Cartesian
0.0000 0.0000 0.0000
-2.4022 0.0009 -0.7682
-1.3285 -2.1771 -0.1813
-2.6409 -4.2936 -0.4132
-3.1135 -2.6639 1.4531
-3.7229 -2.1468 -0.9741
```

=====

No. 5
# AlCuNi6

Crystalline AlCuNi6 at its relaxed geometry (PBEsol, the Alexandria database).

Structure (POSCAR):
```
AlCuNi6
1.0
6.0604 0.0080 0.0000
-2.0374 5.7077 0.0000
0.0000 0.0000 9.9004
Ni Cu Al
24 4 4
Cartesian
1.9984 4.9945 8.6689
2.0223 0.7283 6.1931
2.0007 4.9874 6.1931
2.0007 4.9874 3.7073
-0.0042 2.1493 8.6689
-0.0042 2.1493 1.2316
2.0223 0.7283 3.7073
4.0384 1.4312 7.4365
4.0272 3.5665 8.6689
1.9984 4.9945 1.2316
2.0246 0.7212 8.6689
4.0384 1.4312 2.4640
-0.0154 4.2845 7.4365
0.0000 0.0000 0.0000
4.0198 3.5663 6.1931
2.0115 2.8579 0.0000
0.0032 2.1494 3.7073
2.0246 0.7212 1.2316
4.0198 3.5663 3.7073
2.0115 2.8579 4.9502
4.0272 3.5665 1.2316
0.0000 0.0000 4.9502
-0.0154 4.2845 2.4640
0.0032 2.1494 6.1931
2.0115 2.8579 7.4387
4.0429 1.4281 0.0000
2.0115 2.8579 2.4617
-0.0198 4.2876 0.0000
-0.0276 4.2931 4.9502
4.0506 1.4227 4.9502
0.0000 0.0000 2.4727
0.0000 0.0000 7.4277
```

=====

No. 6
# Al2CuNi

Crystalline Al2CuNi at its relaxed geometry (PBEsol, the Alexandria database).

Structure (POSCAR):
```
Al2CuNi
1.0
-1.1702 0.5302 2.6402
-3.1931 -2.3536 -0.9427
1.9461 -3.2470 1.5146
Al Ni Cu
2 1 1
Cartesian
-0.2238 -2.5056 0.4040
-2.7944 -2.0597 -0.8250
-2.4052 -3.4172 1.2528
-1.7836 -0.6183 0.9662
```

=====

No. 7
# AlCuNi2

Crystalline AlCuNi2 at its relaxed geometry (PBEsol, the Alexandria database).

Structure (POSCAR):
```
AlCuNi2
1.0
2.6010 0.0000 0.0000
-1.3005 2.2525 0.0000
0.0000 0.0000 7.8004
Al Ni Cu
1 2 1
Cartesian
0.0000 0.0000 3.9002
1.3005 0.7508 1.9893
0.0000 1.5017 5.8111
0.0000 0.0000 0.0000
```

=====

No. 8
# Al3Cu2Ni

Crystalline Al3Cu2Ni at its relaxed geometry (PBEsol, the Alexandria database).

Structure (POSCAR):
```
Al3Cu2Ni
1.0
-1.6733 0.7842 2.2755
-2.3699 -3.2639 -0.6180
4.4739 -3.7592 2.6973
Al Ni Cu
3 1 2
Cartesian
0.3058 -0.6655 2.3423
-2.0216 -1.2399 0.8288
2.4948 -2.3095 2.6305
0.0000 0.0000 0.0000
0.0490 -2.7743 0.9921
0.3817 -3.4647 3.3628
```

=====

| no. | formation enthalpy at 0 K (meV/atom) |
| --- | --- |
| 1 | -308.2 |
| 2 | -366.7 |
| 3 | -422.8 |
| 4 | -219.3 |
| 5 | -193.7 |
| 6 | -451.0 |
| 7 | -171.0 |
| 8 | -343.4 |